# Zn2Ga2Bi (meta-GGA SCAN, single point on PBEsol structure)
data_Zn2Ga2Bi
_space_group_name_H-M_alt 'P 1'
_space_group_IT_number 1
_space_group_name_Hall 'P 1'
_cell_length_a 3.234
_cell_length_b 7.723
_cell_length_c 7.723
_cell_angle_alpha 90.00
_cell_angle_beta 90.00
_cell_angle_gamma 90.00
loop_
_atom_site_label
_atom_site_fract_x
_atom_site_fract_y
_atom_site_fract_z
_atom_site_occupancy
Zn1 0.000 0.380 0.880 1
Zn2 0.000 0.880 0.620 1
Zn3 0.000 0.620 0.120 1
Zn4 0.000 0.120 0.380 1
Bi1 0.000 0.000 0.000 1
Bi2 0.000 0.500 0.500 1
Ga1 0.500 0.174 0.674 1
Ga2 0.500 0.674 0.826 1
Ga3 0.500 0.826 0.326 1
Ga4 0.500 0.326 0.174 1
# * magnetic moment: 0.00 μB per atom
# * energy relative to the lowest polymorph listed for this composition: 74 meV per atom
# * V: 19.3 A^3/atom
# * E_form: 0.20 eV per atom
# * symmetry: P4/mbm
# * raw total energy: -137.308 eV/f.u.

# Mn12Al17 (meta-GGA SCAN, single point on PBEsol structure)
data_Mn12Al17
_space_group_name_H-M_alt 'P 1'
_space_group_IT_number 1
_space_group_name_Hall 'P 1'
_cell_length_a 7.853
_cell_length_b 7.853
_cell_length_c 7.853
_cell_angle_alpha 109.47
_cell_angle_beta 109.47
_cell_angle_gamma 109.47
loop_
_atom_site_label
_atom_site_fract_x
_atom_site_fract_y
_atom_site_fract_z
_atom_site_occupancy
Mn1 0.165 0.352 0.352 1
Mn2 0.835 0.187 0.187 1
Mn3 0.000 0.813 0.648 1
Mn4 0.000 0.648 0.813 1
Mn5 0.352 0.165 0.352 1
Mn6 0.187 0.835 0.187 1
Mn7 0.648 0.000 0.813 1
Mn8 0.813 0.000 0.648 1
Mn9 0.352 0.352 0.165 1
Mn10 0.187 0.187 0.835 1
Mn11 0.813 0.648 0.000 1
Mn12 0.648 0.813 0.000 1
Al1 0.714 0.394 0.394 1
Al2 0.286 0.680 0.680 1
Al3 0.000 0.320 0.606 1
Al4 0.000 0.606 0.320 1
Al5 0.394 0.714 0.394 1
Al6 0.680 0.286 0.680 1
Al7 0.606 0.000 0.320 1
Al8 0.320 0.000 0.606 1
Al9 0.394 0.394 0.714 1
Al10 0.680 0.680 0.286 1
Al11 0.320 0.606 0.000 1
Al12 0.606 0.320 0.000 1
Al13 0.648 0.648 0.648 1
Al14 0.352 0.000 0.000 1
Al15 0.000 0.000 0.352 1
Al16 0.000 0.352 0.000 1
Al17 0.000 0.000 0.000 1
# * magnetic moment: 0.31 μB per atom
# * V: 12.9 A^3/atom
# * E_form: -0.19 eV per atom
# * symmetry: I-43m
# * raw total energy: -356.312 eV/f.u.

# TaMn2Zn (meta-GGA SCAN, single point on PBEsol structure)
data_TaMn2Zn
_space_group_name_H-M_alt 'P 1'
_space_group_IT_number 1
_space_group_name_Hall 'P 1'
_cell_length_a 2.749
_cell_length_b 2.749
_cell_length_c 6.844
_cell_angle_alpha 90.00
_cell_angle_beta 90.00
_cell_angle_gamma 90.00
loop_
_atom_site_label
_atom_site_fract_x
_atom_site_fract_y
_atom_site_fract_z
_atom_site_occupancy
Mn1 0.000 0.000 0.030 1
Mn2 0.500 0.500 0.201 1
Ta1 0.000 0.000 0.486 1
Zn1 0.500 0.500 0.783 1
# * magnetic moment: 0.00 μB per atom
# * V: 12.9 A^3/atom
# * E_form: 0.06 eV per atom
# * symmetry: P4mm
# * raw total energy: -116.352 eV/f.u.

# ScGeN2F (meta-GGA SCAN, single point on PBEsol structure)
data_ScGeN2F
_space_group_name_H-M_alt 'P 1'
_space_group_IT_number 1
_space_group_name_Hall 'P 1'
_cell_length_a 3.694
_cell_length_b 3.800
_cell_length_c 3.800
_cell_angle_alpha 90.00
_cell_angle_beta 90.00
_cell_angle_gamma 90.00
loop_
_atom_site_label
_atom_site_fract_x
_atom_site_fract_y
_atom_site_fract_z
_atom_site_occupancy
Sc1 0.500 0.500 0.500 1
Ge1 0.000 0.000 0.000 1
N1 0.000 0.000 0.500 1
N2 0.000 0.500 0.000 1
F1 0.500 0.000 0.000 1
# * formation energy without anion corrections: -0.800 eV/atom
# * magnetic moment: 0.00 μB per atom
# * energy relative to the lowest polymorph listed for this composition: 0 meV per atom
# * V: 10.7 A^3/atom
# * symmetry: P4/mmm
# * raw total energy: -59.446 eV/f.u.

# SbTe2PS (meta-GGA SCAN, single point on PBEsol structure)
data_SbTe2PS
_space_group_name_H-M_alt 'P 1'
_space_group_IT_number 1
_space_group_name_Hall 'P 1'
_cell_length_a 5.160
_cell_length_b 5.160
_cell_length_c 5.050
_cell_angle_alpha 90.00
_cell_angle_beta 90.00
_cell_angle_gamma 90.00
loop_
_atom_site_label
_atom_site_fract_x
_atom_site_fract_y
_atom_site_fract_z
_atom_site_occupancy
Sb1 0.000 0.000 0.500 1
S1 0.000 0.000 0.000 1
Te1 0.000 0.500 0.000 1
Te2 0.500 0.000 0.000 1
P1 0.500 0.500 0.500 1
# * formation energy without anion corrections: 1.021 eV/atom
# * magnetic moment: 0.00 μB per atom
# * V: 26.9 A^3/atom
# * symmetry: P4/mmm
# * raw total energy: -126.687 eV/f.u.

# Ti2GeC (meta-GGA SCAN, single point on PBEsol structure)
data_Ti2GeC
_space_group_name_H-M_alt 'P 1'
_space_group_IT_number 1
_space_group_name_Hall 'P 1'
_cell_length_a 3.056
_cell_length_b 3.056
_cell_length_c 12.882
_cell_angle_alpha 90.00
_cell_angle_beta 90.00
_cell_angle_gamma 120.00
loop_
_atom_site_label
_atom_site_fract_x
_atom_site_fract_y
_atom_site_fract_z
_atom_site_occupancy
Ti1 0.667 0.333 0.911 1
Ti2 0.333 0.667 0.089 1
Ti3 0.333 0.667 0.411 1
Ti4 0.667 0.333 0.589 1
Ge1 0.667 0.333 0.250 1
Ge2 0.333 0.667 0.750 1
C1 0.000 0.000 0.000 1
C2 0.000 0.000 0.500 1
# * magnetic moment: 0.00 μB per atom
# * V: 13.0 A^3/atom
# * E_form: -0.90 eV per atom
# * symmetry: P6_3/mmc
# * raw total energy: -64.855 eV/f.u.

# Sr4TlAg (meta-GGA SCAN, single point on PBEsol structure)
data_Sr4TlAg
_space_group_name_H-M_alt 'P 1'
_space_group_IT_number 1
_space_group_name_Hall 'P 1'
_cell_length_a 6.932
_cell_length_b 6.932
_cell_length_c 6.932
_cell_angle_alpha 60.00
_cell_angle_beta 60.00
_cell_angle_gamma 60.00
loop_
_atom_site_label
_atom_site_fract_x
_atom_site_fract_y
_atom_site_fract_z
_atom_site_occupancy
Ag1 0.000 0.000 0.000 1
Sr1 0.375 0.375 0.375 1
Sr2 0.375 0.375 0.874 1
Sr3 0.874 0.375 0.375 1
Sr4 0.375 0.874 0.375 1
Tl1 0.750 0.750 0.750 1
# * magnetic moment: 0.00 μB per atom
# * V: 39.3 A^3/atom
# * E_form: 0.48 eV per atom
# * symmetry: F-43m
# * raw total energy: -189.975 eV/f.u.

# Rb9O2 (meta-GGA SCAN, single point on PBEsol structure)
data_Rb9O2
_space_group_name_H-M_alt 'P 1'
_space_group_IT_number 1
_space_group_name_Hall 'P 1'
_cell_length_a 8.236
_cell_length_b 11.512
_cell_length_c 13.751
_cell_angle_alpha 90.00
_cell_angle_beta 90.00
_cell_angle_gamma 104.47
loop_
_atom_site_label
_atom_site_fract_x
_atom_site_fract_y
_atom_site_fract_z
_atom_site_occupancy
Rb1 0.393 0.636 0.892 1
Rb2 0.607 0.364 0.392 1
Rb3 0.607 0.364 0.108 1
Rb4 0.393 0.636 0.608 1
Rb5 0.269 0.039 0.892 1
Rb6 0.731 0.961 0.392 1
Rb7 0.731 0.961 0.108 1
Rb8 0.269 0.039 0.608 1
Rb9 0.060 0.316 0.879 1
Rb10 0.940 0.684 0.379 1
Rb11 0.940 0.684 0.121 1
Rb12 0.060 0.316 0.621 1
Rb13 0.974 0.607 0.750 1
Rb14 0.026 0.393 0.250 1
Rb15 0.844 0.005 0.750 1
Rb16 0.156 0.995 0.250 1
Rb17 0.437 0.343 0.750 1
Rb18 0.563 0.657 0.250 1
O1 0.223 0.496 0.750 1
O2 0.777 0.504 0.250 1
O3 0.151 0.155 0.750 1
O4 0.849 0.845 0.250 1
# * formation energy without anion corrections: -0.623 eV/atom
# * magnetic moment: 0.01 μB per atom
# * V: 57.4 A^3/atom
# * symmetry: P2_1/m
# * raw total energy: -205.969 eV/f.u.